The following is a DFT calculation (PBE) of crystalline HgTe2Se at its relaxed geometry.

Structure (extended XYZ):
```
4
Lattice="-0.762 -0.812 4.095 3.142 -0.820 0.422 4.766 7.464 2.368" Properties=species:S:1:pos:R:3 pbc="T T T"
Hg 3.984 3.451 1.426
Te 4.734 7.313 2.332
Te 3.185 0.748 2.940
Se 3.965 5.106 3.950
```

- Density of states at the Fermi level: 1.27 states/eV per cell
- Energy: -2.4601 eV/atom
- Size of the total moment: 0.0 μB/cell
- Energy relative to the elements, uncorrected: 0.23 eV/f.u.
- E above lowest polymorph: 0.052 eV/atom
- Space-group type: Pm (6)